1.
DFT (PBEsol) results for a relaxed structure of Tc2As.

Calculated values
Magnetization, μB per cell: 0.0
Formation energy, meV/atom: -108
D(E_F), states/eV/cell: 3.7
Crystal system: orthorhombic
Energy above the lowest structure with this stoichiometry, kJ/mol of formula units: 3

abc: 6.882 6.882 4.444
angles: 90.00 90.00 155.97
Element x y z (fractional)
Tc (0.050, 0.950, 0.750)
Tc (0.383, 0.617, 0.750)
Tc (0.617, 0.383, 0.250)
Tc (0.950, 0.050, 0.250)
As (0.291, 0.709, 0.250)
As (0.709, 0.291, 0.750)

=====

2.
DFT (PBEsol) results for a relaxed structure of TcAs.

Calculated values
Magnetization, μB per cell: 0.0
Formation energy, meV/atom: 405
D(E_F), states/eV/cell: 0.8
Crystal system: cubic
Energy above the lowest structure with this stoichiometry, kJ/mol of formula units: 122

abc: 3.551 3.551 3.551
angles: 60.00 60.00 60.00
Element x y z (fractional)
Tc (0.000, 0.000, 0.000)
As (0.500, 0.500, 0.500)

=====

3.
DFT (PBEsol) results for a relaxed structure of TcAs3.

Calculated values
Magnetization, μB per cell: 0.0
Formation energy, meV/atom: 341
D(E_F), states/eV/cell: 4.0
Crystal system: tetragonal
Energy above the lowest structure with this stoichiometry, kJ/mol of formula units: 62

abc: 10.358 10.358 10.358
angles: 159.01 159.01 29.86
Element x y z (fractional)
Tc (0.171, 0.171, 0.000)
Tc (0.829, 0.829, 0.000)
As (0.000, 0.500, 0.500)
As (0.250, 0.750, 0.500)
As (0.385, 0.385, 0.000)
As (0.500, 0.000, 0.500)
As (0.615, 0.615, 0.000)
As (0.750, 0.250, 0.500)

=====

4.
DFT (PBEsol) results for a relaxed structure of TcAs3.

Calculated values
Magnetization, μB per cell: 0.0
Formation energy, meV/atom: 180
D(E_F), states/eV/cell: 1.9
Crystal system: monoclinic
Energy above the lowest structure with this stoichiometry, kJ/mol of formula units: 0

abc: 4.557 4.557 4.984
angles: 100.06 100.06 40.52
Element x y z (fractional)
Tc (0.000, 0.000, 0.000)
As (0.271, 0.271, 0.786)
As (0.500, 0.500, 0.500)
As (0.729, 0.729, 0.214)